A) ## DyY2Tl (PBE-GGA)

Data for DyY2Tl after structural relaxation.

a = 4.8395 Å, b = 4.8767 Å, c = 4.8767 Å
α = 90.00°, β = 90.00°, γ = 90.00°
Last column: nearest neighbours and their distance in Å.
Fractional positions:
Dy 0.5000 0.5000 0.5000  8 Y 3.44, 4 Tl 3.45
Y 0.0000 0.0000 0.5000  4 Dy 3.44, 4 Tl 3.44, 4 Y 3.45
Y 0.0000 0.5000 0.0000  4 Tl 3.44, 4 Dy 3.44, 4 Y 3.45
Tl 0.5000 0.0000 0.0000  8 Y 3.44, 4 Dy 3.45

Volume ... 28.77 Å³ per atom



B) ## DyY2Tl (PBE-GGA)

Data for DyY2Tl after structural relaxation.

a = 5.4807 Å, b = 5.4807 Å, c = 5.4818 Å
α = 60.01°, β = 60.01°, γ = 60.00°
Last column: nearest neighbours and their distance in Å.
Fractional positions:
Tl 0.7500 0.7500 0.7500  4 Y 3.36, 4 Dy 3.36
Dy 0.4999 0.4999 0.5003  4 Y 3.36, 4 Tl 3.36
Y 0.2500 0.2500 0.2500  4 Dy 3.36, 4 Y 3.36
Y 0.0001 0.0001 0.9997  4 Tl 3.36, 4 Y 3.36

Volume ... 29.11 Å³ per atom



Verdict on stability: B) comes out at the bottom.



A) ## DyY2Tl (PBE-GGA)

Data for DyY2Tl after structural relaxation.

a = 3.6972 Å, b = 6.7312 Å, c = 10.1118 Å
α = 90.00°, β = 90.00°, γ = 105.94°
Last column: nearest neighbours and their distance in Å.
Fractional positions:
Y 0.6299 0.2597 0.4638  3 Tl 3.23-3.30, 1 Y 3.44, 1 Dy 3.61
Y 0.6299 0.2597 0.0362  3 Tl 3.23-3.30, 1 Y 3.44, 1 Dy 3.61
Y 0.3701 0.7403 0.9638  3 Tl 3.23-3.30, 1 Y 3.44, 1 Dy 3.61
Y 0.3701 0.7403 0.5362  3 Tl 3.23-3.30, 1 Y 3.44, 1 Dy 3.61
Tl 0.7518 0.5043 0.7500  6 Y 3.23-3.30, 2 Dy 3.28
Tl 0.2482 0.4957 0.2500  6 Y 3.23-3.30, 2 Dy 3.28
Dy 0.9575 0.9147 0.2500  2 Tl 3.28, 8 Y 3.61-3.62
Dy 0.0425 0.0853 0.7500  2 Tl 3.28, 8 Y 3.61-3.62

Volume ... 30.25 Å³ per atom



B) ## DyY2Tl (PBE-GGA)

Data for DyY2Tl after structural relaxation.

a = 5.4782 Å, b = 5.4782 Å, c = 5.4782 Å
α = 60.00°, β = 60.00°, γ = 60.00°
Last column: nearest neighbours and their distance in Å.
Fractional positions:
Y 0.7500 0.7500 0.7500  4 Tl 3.35, 4 Dy 3.35
Y 0.2500 0.2500 0.2500  4 Dy 3.35, 4 Tl 3.35
Dy 0.0000 0.0000 0.0000  8 Y 3.35
Tl 0.5000 0.5000 0.5000  8 Y 3.35

Volume ... 29.06 Å³ per atom



C) ## DyY2Tl (PBE-GGA)

Data for DyY2Tl after structural relaxation.

a = 5.3449 Å, b = 6.7292 Å, c = 6.7574 Å
α = 78.72°, β = 90.00°, γ = 90.00°
Last column: nearest neighbours and their distance in Å.
Fractional positions:
Dy 0.7500 0.3369 0.4254  3 Tl 3.37, 8 Y 3.38-3.67, 2 Dy 3.72
Dy 0.2500 0.6631 0.5746  3 Tl 3.37, 8 Y 3.38-3.67, 2 Dy 3.72
Y 0.7500 0.8685 0.2296  4 Tl 3.17-3.50, 2 Y 3.50
Y 0.2500 0.1315 0.7704  4 Tl 3.17-3.50, 2 Y 3.50
Y 0.2500 0.5862 0.0950  1 Tl 3.14, 4 Y 3.27-3.50, 2 Dy 3.38-3.45
Y 0.7500 0.4138 0.9050  1 Tl 3.14, 4 Y 3.27-3.50, 2 Dy 3.38-3.45
Tl 0.7500 0.8844 0.7449  5 Y 3.14-3.50, 3 Dy 3.37
Tl 0.2500 0.1156 0.2551  5 Y 3.14-3.50, 3 Dy 3.37

Volume ... 29.79 Å³ per atom



D) ## DyY2Tl (PBE-GGA)

Data for DyY2Tl after structural relaxation.

a = 3.5555 Å, b = 3.5555 Å, c = 12.1972 Å
α = 81.62°, β = 81.62°, γ = 60.00°
Last column: nearest neighbours and their distance in Å.
Fractional positions:
Dy 0.5000 0.5000 0.5000  6 Y 3.49, 6 Dy 3.56
Tl 0.0000 0.0000 0.0000  2 Y 3.19, 6 Tl 3.56
Y 0.0884 0.0884 0.7349  1 Tl 3.19, 3 Dy 3.49, 6 Y 3.56
Y 0.9116 0.9116 0.2651  1 Tl 3.19, 3 Dy 3.49, 6 Y 3.56

Volume ... 32.91 Å³ per atom



Verdict on stability: D) comes out at the bottom.



A) ## Dy3YTl (PBE-GGA)

Data for Dy3YTl after structural relaxation.

a = 4.8100 Å, b = 4.7882 Å, c = 12.9721 Å
α = 90.00°, β = 79.32°, γ = 90.00°
Last column: nearest neighbours and their distance in Å.
Fractional positions:
Tl 0.6720 0.7500 0.3043  4 Y 3.39, 8 Dy 3.45-3.58
Tl 0.9764 0.2500 0.6957  4 Y 3.39, 8 Dy 3.45-3.58
Y 0.1748 0.2500 0.2987  4 Tl 3.39, 8 Dy 3.46-3.52
Y 0.4735 0.7500 0.7013  4 Tl 3.39, 8 Dy 3.46-3.52
Dy 0.8758 0.7500 0.8967  8 Dy 3.39-3.56, 2 Y 3.46, 2 Tl 3.51
Dy 0.3721 0.2500 0.9041  8 Dy 3.39-3.50, 2 Y 3.52, 2 Tl 3.58
Dy 0.5747 0.2500 0.4989  4 Dy 3.39, 4 Tl 3.45-3.48, 4 Y 3.51-3.52
Dy 0.7725 0.2500 0.1033  8 Dy 3.39-3.56, 2 Y 3.46, 2 Tl 3.51
Dy 0.2762 0.7500 0.0959  8 Dy 3.39-3.50, 2 Y 3.52, 2 Tl 3.58
Dy 0.0736 0.7500 0.5011  4 Dy 3.39, 4 Tl 3.45-3.48, 4 Y 3.51-3.52

Volume ... 29.36 Å³ per atom



B) ## Dy3YTl (PBE-GGA)

Data for Dy3YTl after structural relaxation.

a = 6.5561 Å, b = 9.8205 Å, c = 9.8205 Å
α = 83.89°, β = 79.71°, γ = 79.71°
Last column: nearest neighbours and their distance in Å.
Fractional positions:
Dy 0.4743 0.2123 0.5936  2 Tl 3.14-3.48, 3 Dy 3.25-3.52, 2 Y 3.40-3.47
Dy 0.1409 0.9983 0.6245  6 Dy 3.25-3.62, 2 Tl 3.29-3.31, 2 Y 3.54-3.60
Dy 0.6428 0.8761 0.7307  3 Tl 3.36-3.72, 2 Y 3.40-3.64, 6 Dy 3.41-3.69
Dy 0.8591 0.0017 0.3755  6 Dy 3.25-3.62, 2 Tl 3.29-3.31, 2 Y 3.54-3.60
Dy 0.8572 0.2693 0.1239  3 Tl 3.36-3.72, 2 Y 3.40-3.64, 6 Dy 3.41-3.69
Dy 0.6409 0.6245 0.9983  6 Dy 3.25-3.62, 2 Tl 3.29-3.31, 2 Y 3.54-3.60
Dy 0.9743 0.5936 0.2123  2 Tl 3.14-3.48, 3 Dy 3.25-3.52, 2 Y 3.40-3.47
Dy 0.0257 0.4064 0.7877  2 Tl 3.14-3.48, 3 Dy 3.25-3.52, 2 Y 3.40-3.47
Dy 0.3572 0.1239 0.2693  3 Tl 3.36-3.72, 2 Y 3.40-3.64, 6 Dy 3.41-3.69
Dy 0.1428 0.7307 0.8761  3 Tl 3.36-3.72, 2 Y 3.40-3.64, 6 Dy 3.41-3.69
Dy 0.5257 0.7877 0.4064  2 Tl 3.14-3.48, 3 Dy 3.25-3.52, 2 Y 3.40-3.47
Dy 0.3591 0.3755 0.0017  6 Dy 3.25-3.62, 2 Tl 3.29-3.31, 2 Y 3.54-3.60
Tl 0.2500 0.8307 0.1693  6 Dy 3.14-3.36, 3 Tl 3.30-3.47
Tl 0.7500 0.1693 0.8307  6 Dy 3.14-3.36, 3 Tl 3.30-3.47
Tl 0.7500 0.9182 0.0818  3 Tl 3.30-3.47, 6 Dy 3.31-3.48
Tl 0.2500 0.0818 0.9182  3 Tl 3.30-3.47, 6 Dy 3.31-3.48
Y 0.5394 0.5363 0.6728  8 Dy 3.40-3.76, 4 Y 3.59-3.74
Y 0.0394 0.6728 0.5363  8 Dy 3.40-3.76, 4 Y 3.59-3.74
Y 0.4606 0.4637 0.3272  8 Dy 3.40-3.76, 4 Y 3.59-3.74
Y 0.9606 0.3272 0.4637  8 Dy 3.40-3.76, 4 Y 3.59-3.74

Volume ... 30.52 Å³ per atom



Verdict on stability: B) comes out at the bottom.



A) ## Dy5YTl4 (PBE-GGA)

Data for Dy5YTl4 after structural relaxation.

a = 3.6268 Å, b = 3.6268 Å, c = 21.6002 Å
α = 90.00°, β = 90.00°, γ = 90.00°
Last column: nearest neighbours and their distance in Å.
Fractional positions:
Tl 0.0000 0.0000 0.4037  8 Dy 3.30-3.31, 4 Tl 3.63
Tl 0.0000 0.0000 0.7892  8 Dy 3.30, 4 Tl 3.63
Tl 0.0000 0.0000 0.5963  8 Dy 3.30-3.31, 4 Tl 3.63
Tl 0.0000 0.0000 0.2108  8 Dy 3.30, 4 Tl 3.63
Dy 0.5000 0.5000 0.6933  8 Tl 3.30-3.31, 4 Dy 3.63
Dy 0.5000 0.5000 0.8853  4 Tl 3.30, 4 Y 3.57, 4 Dy 3.63
Dy 0.5000 0.5000 0.3067  8 Tl 3.30-3.31, 4 Dy 3.63
Dy 0.5000 0.5000 0.5000  8 Tl 3.30, 4 Dy 3.63
Dy 0.5000 0.5000 0.1147  4 Tl 3.30, 4 Y 3.57, 4 Dy 3.63
Y 0.0000 0.0000 0.0000  8 Dy 3.57, 4 Y 3.63

Volume ... 28.41 Å³ per atom



B) ## Dy5YTl4 (PBE-GGA)

Data for Dy5YTl4 after structural relaxation.

a = 8.4548 Å, b = 8.1665 Å, c = 9.3475 Å
α = 90.00°, β = 90.00°, γ = 90.00°
Last column: nearest neighbours and their distance in Å.
Fractional positions:
Tl 0.0015 0.5000 0.6666  1 Tl 3.12, 5 Dy 3.14-3.28, 1 Y 3.16
Tl 0.4375 0.8285 0.5000  1 Tl 2.80, 1 Y 2.84, 2 Dy 3.12
Tl 0.4375 0.1715 0.5000  1 Tl 2.80, 1 Y 2.84, 2 Dy 3.12
Tl 0.5625 0.3285 0.0000  1 Tl 2.80, 1 Y 2.84, 2 Dy 3.12
Tl 0.5625 0.6715 0.0000  1 Tl 2.80, 1 Y 2.84, 2 Dy 3.12
Tl 0.0015 0.5000 0.3334  1 Tl 3.12, 5 Dy 3.14-3.28, 1 Y 3.16
Tl 0.9985 0.0000 0.1666  1 Tl 3.12, 5 Dy 3.14-3.28, 1 Y 3.16
Tl 0.9985 0.0000 0.8334  1 Tl 3.12, 5 Dy 3.14-3.28, 1 Y 3.16
Dy 0.7291 0.7590 0.6945  4 Tl 3.12-3.28
Dy 0.2709 0.7410 0.1945  4 Tl 3.12-3.28
Dy 0.7291 0.2410 0.3055  4 Tl 3.12-3.28
Dy 0.2709 0.2590 0.8055  4 Tl 3.12-3.28
Dy 0.2709 0.2590 0.1945  4 Tl 3.12-3.28
Dy 0.7291 0.2410 0.6945  4 Tl 3.12-3.28
Dy 0.0815 0.0000 0.5000  4 Tl 3.19-3.32
Dy 0.2709 0.7410 0.8055  4 Tl 3.12-3.28
Dy 0.7291 0.7590 0.3055  4 Tl 3.12-3.28
Dy 0.9185 0.5000 0.0000  4 Tl 3.19-3.32
Y 0.6735 0.0000 0.0000  4 Tl 2.84-3.16
Y 0.3265 0.5000 0.5000  4 Tl 2.84-3.16

Volume ... 32.27 Å³ per atom



Verdict on stability: B) comes out at the bottom.